Computed, not measured: crystalline GaCo2Ni at its relaxed geometry at the GGA-PBEsol level of DFT.

a = 3.470 Å, b = 3.470 Å, c = 3.665 Å
α = 90.00°, β = 90.00°, γ = 90.00°
Last column: magnetic moment on the atom in μB.
Fractional coordinates of all 4 atoms:
Co (0.000, 0.500, 0.500)  1.36
Co (0.500, 0.000, 0.500)  1.36
Ga (0.000, 0.000, 0.000)  -0.05
Ni (0.500, 0.500, 0.000)  0.30

Calculated values
SG   P4/mmm, No. 123
DFT formation energy   -0.149 eV per atom
V   44.1 Å³/cell


Computed, not measured: crystalline Zr6Ag7F31 at its relaxed geometry at the GGA-PBEsol level of DFT.

a = 8.644 Å, b = 8.644 Å, c = 8.644 Å
α = 106.77°, β = 106.77°, γ = 106.77°
Fractional coordinates of all 44 atoms:
Ag (0.428, 0.814, 0.290)
Ag (0.186, 0.710, 0.572)
Ag (0.572, 0.186, 0.710)
Ag (0.500, 0.500, 0.500)
Ag (0.814, 0.290, 0.428)
Ag (0.710, 0.572, 0.186)
Ag (0.290, 0.428, 0.814)
Zr (0.964, 0.642, 0.884)
Zr (0.358, 0.116, 0.036)
Zr (0.116, 0.036, 0.358)
Zr (0.884, 0.964, 0.642)
Zr (0.642, 0.884, 0.964)
Zr (0.036, 0.358, 0.116)
F (0.258, 0.562, 0.327)
F (0.450, 0.980, 0.850)
F (0.306, 0.091, 0.253)
F (0.150, 0.550, 0.020)
F (0.550, 0.020, 0.150)
F (0.747, 0.694, 0.909)
F (0.980, 0.850, 0.450)
F (0.673, 0.742, 0.438)
F (0.742, 0.438, 0.673)
F (0.438, 0.673, 0.742)
F (0.840, 0.954, 0.213)
F (0.943, 0.474, 0.293)
F (0.850, 0.450, 0.980)
F (0.327, 0.258, 0.562)
F (0.000, 0.000, 0.000)
F (0.057, 0.526, 0.707)
F (0.293, 0.943, 0.474)
F (0.954, 0.213, 0.840)
F (0.526, 0.707, 0.057)
F (0.046, 0.787, 0.160)
F (0.160, 0.046, 0.787)
F (0.091, 0.253, 0.306)
F (0.909, 0.747, 0.694)
F (0.562, 0.327, 0.258)
F (0.787, 0.160, 0.046)
F (0.253, 0.306, 0.091)
F (0.474, 0.293, 0.943)
F (0.707, 0.057, 0.526)
F (0.694, 0.909, 0.747)
F (0.213, 0.840, 0.954)
F (0.020, 0.150, 0.550)

Calculated values
Raw formation energy   -2.86 eV per atom
SG   R-3, No. 148
V   541.3 Å³/cell


Computed, not measured: crystalline GaSbRhI2 at its relaxed geometry at the GGA-PBEsol level of DFT.

a = 4.914 Å, b = 5.526 Å, c = 5.526 Å
α = 90.00°, β = 90.00°, γ = 90.00°
Fractional coordinates of all 5 atoms:
I (0.000, 0.500, 0.000)
I (0.000, 0.000, 0.500)
Rh (0.000, 0.000, 0.000)
Ga (0.500, 0.500, 0.500)
Sb (0.500, 0.000, 0.000)

Calculated values
Raw formation energy   0.18 eV per atom
SG   P4/mmm, No. 123
V   150.0 Å³/cell


Computed, not measured: crystalline TiGaBi3 at its relaxed geometry at the GGA-PBEsol level of DFT.

a = 5.341 Å, b = 5.341 Å, c = 5.341 Å
α = 90.00°, β = 90.00°, γ = 90.00°
Last column: magnetic moment on the atom in μB.
Fractional coordinates of all 5 atoms:
Bi (0.500, 0.000, 0.000)  -0.01
Bi (0.000, 0.000, 0.500)  -0.01
Bi (0.000, 0.500, 0.000)  -0.01
Ga (0.000, 0.000, 0.000)  0.03
Ti (0.500, 0.500, 0.500)  1.76

Calculated values
SG   Pm-3m, No. 221
DFT formation energy   0.842 eV per atom
V   152.4 Å³/cell


Computed, not measured: crystalline YSc2Ta at its relaxed geometry at the GGA-PBEsol level of DFT.

a = 3.068 Å, b = 5.096 Å, c = 5.828 Å
α = 90.00°, β = 95.12°, γ = 90.00°
Fractional coordinates of all 4 atoms:
Sc (0.702, 0.000, 0.777)
Sc (0.298, 0.000, 0.223)
Ta (0.500, 0.500, 0.000)
Y (0.000, 0.500, 0.500)

Calculated values
SG   P2/m, No. 10
Excess energy over the best structure of this formula in the dataset   77 meV per atom
DFT formation energy   0.285 eV per atom
V   90.7 Å³/cell


Computed, not measured: crystalline BaLa3TiCr3O12 at its relaxed geometry at the GGA-PBEsol level of DFT.

a = 3.881 Å, b = 5.503 Å, c = 10.933 Å
α = 90.00°, β = 90.00°, γ = 90.00°
Last column: magnetic moment on the atom in μB.
Fractional coordinates of all 20 atoms:
La (0.500, 0.500, 0.241)  0.05
La (0.500, 0.500, 0.759)  0.05
La (0.500, 0.000, 0.000)  0.07
O (0.000, 0.261, 0.368)  0.00
O (0.000, 0.739, 0.632)  0.00
O (0.500, 0.000, 0.235)  0.03
O (0.000, 0.739, 0.368)  0.00
O (0.000, 0.251, 0.876)  0.03
O (0.000, 0.749, 0.124)  0.03
O (0.000, 0.251, 0.124)  0.03
O (0.000, 0.749, 0.876)  0.03
O (0.000, 0.261, 0.632)  0.00
O (0.500, 0.000, 0.765)  0.03
O (0.500, 0.500, 0.500)  0.01
O (0.500, 0.500, 0.000)  0.02
Cr (0.000, 0.000, 0.250)  2.59
Cr (0.000, 0.000, 0.750)  2.59
Cr (0.000, 0.500, 0.000)  2.60
Ti (0.000, 0.500, 0.500)  0.14
Ba (0.500, 0.000, 0.500)  0.01

Calculated values
Raw formation energy   -2.85 eV per atom
SG   Pmmm, No. 47
V   233.5 Å³/cell